The following is a DFT calculation (PBE) of crystalline CaSm2O4 at its relaxed geometry.

Calculated values
formation energy from raw total energies = -22.60 eV per formula unit
total magnetic moment = 0.000 μB per cell
density = 5.6 Mg/m³
N(E_F) = 0.0 states/eV/f.u.
volume = 17.28 Å³ per atom

Lattice parameters (Å, degrees): 6.995 6.995 6.995 60.00 60.00 60.00
Atoms (fractional coordinates):
1 Ca 0.125 0.125 0.125
2 Ca 0.875 0.875 0.875
3 Sm 0.000 0.500 0.500
4 Sm 0.500 0.000 0.500
5 Sm 0.500 0.500 0.000
6 Sm 0.500 0.500 0.500
7 O 0.261 0.261 0.261
8 O 0.261 0.261 0.716
9 O 0.261 0.716 0.261
10 O 0.284 0.739 0.739
11 O 0.716 0.261 0.261
12 O 0.739 0.284 0.739
13 O 0.739 0.739 0.284
14 O 0.739 0.739 0.739